No. 1
DFT (PBE) results for crystalline SmPd4 at its relaxed geometry.

Symmetry: P4/mbm
Total magnetization in μB/cell: 0.00
DFT formation energy in eV/atom: -0.069

```
20
Lattice="-2.552 3.276 -3.035 4.868 -3.078 -7.417 -6.541 -6.552 -1.574" Properties=species:S:1:pos:R:3 pbc="T T T"
Sm -3.530 -4.772 -2.183
Sm -2.335 -7.552 -6.190
Sm 0.663 -2.078 -2.801
Sm 1.858 -4.859 -6.808
Pd -0.879 -5.082 -9.106
Pd 0.982 -0.914 -6.172
Pd -5.206 -5.440 -5.854
Pd -3.346 -1.272 -2.919
Pd -0.978 0.313 -3.199
Pd -5.963 -3.904 -3.559
Pd 1.739 -2.450 -8.467
Pd -3.247 -6.667 -8.827
Pd -3.802 -3.245 -4.666
Pd -0.423 -3.109 -7.360
Pd -2.930 -4.842 -7.123
Pd -1.294 -1.512 -4.903
Pd -0.588 0.755 -0.699
Pd -2.800 -2.294 -6.831
Pd -1.964 2.522 -2.336
Pd -1.424 -4.061 -5.195
```

No. 2
DFT (PBE) results for crystalline SmSn3Pd at its relaxed geometry.

Symmetry: Pmmn
Total magnetization in μB/cell: 0.00
DFT formation energy in eV/atom: -0.459
Offset from the most stable computed form in eV per formula unit: 0.51

```
10
Lattice="4.438 -0.001 0.000 0.002 7.396 0.000 0.000 0.000 7.723" Properties=species:S:1:pos:R:3 pbc="T T T"
Sm 3.329 1.848 1.879
Sm 1.111 5.547 5.843
Sn 3.330 5.547 0.538
Sn 1.110 1.849 7.184
Sn 3.329 0.306 5.186
Sn 3.330 3.391 5.186
Sn 1.111 7.089 2.536
Sn 1.111 4.005 2.536
Pd 3.330 5.547 3.277
Pd 1.110 1.849 4.446
```

No. 3
DFT (PBE) results for crystalline Sm7Sn2Pd2 at its relaxed geometry.

Symmetry: Cmmm
Total magnetization in μB/cell: 0.00
DFT formation energy in eV/atom: -0.414

```
11
Lattice="-2.428 -5.647 3.429 6.568 -1.326 2.466 -0.531 5.493 4.369" Properties=species:S:1:pos:R:3 pbc="T T T"
Sm -0.992 -3.241 6.253
Sm 3.120 1.684 7.911
Sm 4.601 1.761 4.011
Sm 0.488 -3.164 2.353
Sm 0.000 0.000 0.000
Sm 3.483 -1.082 5.762
Sm 0.126 -0.399 4.502
Sn 0.846 -0.790 7.658
Sn 2.763 -0.690 2.606
Pd 4.680 -3.801 6.163
Pd -1.071 2.321 4.101
```

No. 4
DFT (PBE) results for crystalline Sm3Sn5Pd6 at its relaxed geometry.

Symmetry: Pmmn
Total magnetization in μB/cell: 0.00
DFT formation energy in eV/atom: -0.795

```
28
Lattice="4.545 0.000 0.000 0.000 9.709 0.000 0.000 0.000 13.637" Properties=species:S:1:pos:R:3 pbc="T T T"
Sm 0.000 2.424 9.402
Sm 2.272 7.285 2.583
Sm 2.272 7.285 11.053
Sm 0.000 2.203 0.000
Sm 2.272 7.506 6.818
Sm 0.000 2.424 4.235
Sn 0.000 4.985 11.867
Sn 0.000 8.638 9.115
Sn 0.000 7.516 0.000
Sn 2.272 4.724 8.588
Sn 2.272 2.193 6.818
Sn 0.000 4.985 1.770
Sn 2.272 4.724 5.049
Sn 0.000 8.638 4.521
Sn 2.272 1.070 11.340
Sn 2.272 1.070 2.297
Pd 0.000 9.465 11.757
Pd 2.272 0.243 8.698
Pd 2.272 3.723 11.233
Pd 2.272 5.488 0.000
Pd 0.000 4.221 6.818
Pd 0.000 5.986 9.222
Pd 0.000 5.986 4.414
Pd 2.272 9.276 0.000
Pd 0.000 9.465 1.879
Pd 2.272 3.723 2.404
Pd 0.000 0.433 6.818
Pd 2.272 0.243 4.939
```

No. 5
DFT (PBE) results for crystalline Sm2Sn2Pd at its relaxed geometry.

Symmetry: C2/m
Total magnetization in μB/cell: 0.00
DFT formation energy in eV/atom: -0.841
Offset from the most stable computed form in eV per formula unit: 0.00

```
10
Lattice="-2.642 -1.610 -3.428 -1.337 -5.883 0.684 -9.449 2.201 3.139" Properties=species:S:1:pos:R:3 pbc="T T T"
Sm -5.343 -2.223 -1.058
Sm -11.182 -1.025 -0.231
Sm -8.086 -3.069 1.454
Sm -2.247 -4.267 0.626
Sn -5.903 -0.447 1.650
Sn -11.145 -3.933 1.107
Sn -7.526 -4.845 -1.254
Sn -2.284 -1.359 -0.711
Pd -8.010 -0.103 0.002
Pd -5.419 -5.189 0.394
```

No. 6
DFT (PBE) results for crystalline SmSn6Pd12 at its relaxed geometry.

Symmetry: R-3m
Total magnetization in μB/cell: 0.00
DFT formation energy in eV/atom: -0.455

```
19
Lattice="7.558 -0.098 -0.138 -1.968 7.297 -0.138 -1.968 -2.536 6.844" Properties=species:S:1:pos:R:3 pbc="T T T"
Sm 0.000 0.000 0.000
Sn 4.182 1.255 1.768
Sn 0.179 0.231 4.702
Sn 0.179 4.363 1.768
Sn 3.441 4.433 1.866
Sn -0.562 3.408 4.800
Sn 3.441 0.301 4.800
Pd 5.461 -0.503 3.284
Pd 4.135 2.912 4.101
Pd 1.796 2.314 5.815
Pd 1.824 -0.064 2.467
Pd 1.824 2.350 0.753
Pd -0.514 1.751 2.467
Pd -1.841 1.398 5.960
Pd 1.810 6.100 0.608
Pd -1.841 5.166 3.284
Pd 5.461 3.266 0.608
Pd 1.810 -1.437 5.960
Pd 1.796 4.727 4.101
```

No. 7
DFT (PBE) results for crystalline Sm3Sn4Pd8 at its relaxed geometry.

Symmetry: Fm-3m
Total magnetization in μB/cell: 0.00
DFT formation energy in eV/atom: -0.770

```
30
Lattice="8.190 0.000 4.729 2.730 7.722 4.729 0.000 0.000 9.458" Properties=species:S:1:pos:R:3 pbc="T T T"
Sm 7.968 5.634 9.458
Sm 2.952 2.088 9.458
Sm 6.714 2.088 7.286
Sm 4.206 5.634 11.629
Sm 6.714 2.088 11.629
Sm 4.206 5.634 7.286
Sn 0.000 0.000 0.000
Sn 5.460 3.861 4.729
Sn 0.000 0.000 4.729
Sn 4.095 0.000 2.364
Sn 1.365 3.861 7.093
Sn 4.095 0.000 7.093
Sn 1.365 3.861 2.364
Sn 5.460 3.861 9.458
Pd 5.535 0.939 4.729
Pd 5.385 6.783 14.186
Pd 1.328 0.939 7.158
Pd 1.328 0.939 2.300
Pd 9.593 6.783 11.757
Pd 9.593 6.783 16.616
Pd 2.730 4.906 4.729
Pd 8.190 2.816 14.186
Pd 9.096 2.576 9.458
Pd 1.825 5.146 9.458
Pd 3.643 2.576 12.606
Pd 3.643 2.576 6.309
Pd 7.278 5.146 6.309
Pd 7.278 5.146 12.606
Pd 5.460 7.717 9.458
Pd 5.460 0.005 9.458
```

No. 8
DFT (PBE) results for crystalline SmSn4Pd4 at its relaxed geometry.

Symmetry: I4/m
Total magnetization in μB/cell: 0.00
DFT formation energy in eV/atom: -0.515

```
18
Lattice="4.647 0.000 0.000 0.000 9.281 0.000 0.000 0.000 9.281" Properties=species:S:1:pos:R:3 pbc="T T T"
Sm 0.000 0.000 0.000
Sm 2.323 4.641 4.641
Sn 2.321 3.510 7.961
Sn 4.644 5.960 8.150
Sn 2.321 5.771 1.320
Sn 0.003 1.131 5.960
Sn 2.326 7.961 5.771
Sn 0.003 8.150 3.321
Sn 4.644 3.321 1.131
Sn 2.326 1.320 3.510
Pd 2.326 8.472 1.855
Pd 2.326 0.809 7.426
Pd 0.002 6.495 5.450
Pd 4.644 3.831 6.495
Pd 4.644 5.450 2.786
Pd 2.321 1.855 0.809
Pd 2.321 7.426 8.472
Pd 0.002 2.786 3.831
```